Model a:
DFT (PBE) results for crystalline BiPd2I at its relaxed geometry.

Summary:
The value obtained for the density of states at the Fermi level is 6.82 states/eV per cell. Its total moment is 0.0 μB/cell.

```
data_BiPd2I
_chemical_formula_sum 'Bi4 Pd8 I4'
_cell_length_a 6.855
_cell_length_b 6.855
_cell_length_c 9.647
_cell_angle_alpha 90.00
_cell_angle_beta 90.00
_cell_angle_gamma 90.00
_symmetry_space_group_name_H-M 'I -4 2 d'
_symmetry_Int_Tables_number 122
_symmetry_space_group_name_Hall 'I -4 2bw'
loop_
_atom_site_label
_atom_site_fract_x
_atom_site_fract_y
_atom_site_fract_z
Bi1 0.000 0.000 0.000
Pd1 0.244 0.750 0.125
I1 0.000 0.000 0.500
```


Model b:
DFT (PBE) results for crystalline BiPd2I at its relaxed geometry.

Summary:
The value obtained for the density of states at the Fermi level is 3.23 states/eV per cell. Its total moment is 0.0 μB/cell.

```
data_BiPd2I
_chemical_formula_sum 'Bi2 Pd4 I2'
_cell_length_a 4.988
_cell_length_b 9.097
_cell_length_c 4.389
_cell_angle_alpha 90.00
_cell_angle_beta 90.00
_cell_angle_gamma 90.00
_symmetry_space_group_name_H-M 'P m n 21'
_symmetry_Int_Tables_number 31
loop_
_symmetry_equiv_pos_as_xyz
'x,y,z'
'-x+1/2,-y,z+1/2'
'-x,y,z'
'x+1/2,-y,z+1/2'
loop_
_atom_site_label
_atom_site_fract_x
_atom_site_fract_y
_atom_site_fract_z
Bi1 0.000 0.036 0.000
Pd1 0.000 0.318 0.765
Pd2 0.000 0.822 0.510
I1 0.000 0.622 0.029
```


Model c:
DFT (PBE) results for crystalline BiPd2I at its relaxed geometry.

Summary:
The value obtained for the density of states at the Fermi level is 9.83 states/eV per cell. Its total moment is 0.0 μB/cell.

```
data_BiPd2I
_chemical_formula_sum 'Bi4 Pd8 I4'
_cell_length_a 7.061
_cell_length_b 7.061
_cell_length_c 7.061
_cell_angle_alpha 90.00
_cell_angle_beta 90.00
_cell_angle_gamma 90.00
_symmetry_space_group_name_H-M 'F m -3 m'
_symmetry_Int_Tables_number 225
_symmetry_space_group_name_Hall '-F 4 2 3'
loop_
_atom_site_label
_atom_site_fract_x
_atom_site_fract_y
_atom_site_fract_z
Bi1 0.000 0.000 0.000
Pd1 0.250 0.250 0.250
I1 0.000 0.000 0.500
```


Relative to the most stable one, in meV per atom, the structures come out at model a 153; model b 0; model c 182.